4
Lattice="0.0000 3.0764 3.0764 3.0764 0.0000 3.0764 3.0764 3.0764 0.0000" Properties=species:S:1:pos:R:3 comment="ScReP2, relaxed, DFT PBE" e_above_lowest_polymorph_mev_per_atom=197.9 delta_e_f_mev_per_atom=-534 n_ef_per_ev_cell=0.21 energy_ha_per_atom=-0.29155 pbc="T T T"
Sc 0.0000 0.0000 0.0000
Re 3.0764 3.0764 3.0764
P 1.5382 1.5382 1.5382
P 4.6146 4.6146 4.6146